No. 1
Computed, not measured: crystalline AcBiP2Pt7 at its relaxed geometry at the PBE-GGA level of DFT.

a = 15.384 Å, b = 15.384 Å, c = 15.384 Å
α = 164.66°, β = 164.66°, γ = 21.77°
Fractional coordinates of all 11 atoms:
Ac  0.000  0.000  0.000
Bi  0.750  0.250  0.500
P  0.381  0.381  0.000
P  0.619  0.619  0.000
Pt  0.080  0.580  0.500
Pt  0.307  0.307  0.000
Pt  0.420  0.920  0.500
Pt  0.500  0.500  0.000
Pt  0.580  0.080  0.500
Pt  0.693  0.693  0.000
Pt  0.920  0.420  0.500

The calculation puts the formation energy from the elements at -0.36 eV/atom. As for the theoretical density: 12140 kg/m3.

No. 2
Computed, not measured: crystalline Ac3Bi2P2Rh4 at its relaxed geometry at the PBE-GGA level of DFT.

a = 4.217 Å, b = 4.217 Å, c = 17.651 Å
α = 90.00°, β = 90.00°, γ = 120.00°
Fractional coordinates of all 11 atoms:
Ac  0.000  0.000  0.000
Ac  0.000  0.000  0.245
Ac  0.000  0.000  0.755
Bi  0.333  0.667  0.578
Bi  0.667  0.333  0.422
P  0.333  0.667  0.118
P  0.667  0.333  0.882
Rh  0.333  0.667  0.357
Rh  0.333  0.667  0.869
Rh  0.667  0.333  0.131
Rh  0.667  0.333  0.643

The calculation puts the formation energy from the elements at -0.75 eV/atom. As for the theoretical density: 9605 kg/m3.

No. 3
Computed, not measured: crystalline Ac2BiPRh6 at its relaxed geometry at the PBE-GGA level of DFT.

a = 5.885 Å, b = 8.938 Å, c = 7.962 Å
α = 90.00°, β = 90.00°, γ = 90.00°
Fractional coordinates of all 20 atoms:
Ac  0.250  0.012  0.223
Ac  0.250  0.488  0.223
Ac  0.750  0.512  0.777
Ac  0.750  0.988  0.777
Bi  0.250  0.750  0.789
Bi  0.750  0.250  0.211
P  0.250  0.250  0.717
P  0.750  0.750  0.283
Rh  0.001  0.750  0.070
Rh  0.017  0.750  0.487
Rh  0.250  0.005  0.602
Rh  0.250  0.495  0.602
Rh  0.483  0.750  0.487
Rh  0.499  0.750  0.070
Rh  0.501  0.250  0.930
Rh  0.517  0.250  0.513
Rh  0.750  0.505  0.398
Rh  0.750  0.995  0.398
Rh  0.983  0.250  0.513
Rh  0.999  0.250  0.930

The calculation puts the formation energy from the elements at -0.60 eV/atom. As for the theoretical density: 10399 kg/m3.

No. 4
Computed, not measured: crystalline AcBiP2S8 at its relaxed geometry at the PBE-GGA level of DFT.

a = 6.629 Å, b = 6.629 Å, c = 9.222 Å
α = 90.00°, β = 90.00°, γ = 120.00°
Fractional coordinates of all 12 atoms:
Ac  0.000  0.000  0.000
Bi  0.000  0.000  0.500
P  0.333  0.667  0.201
P  0.667  0.333  0.799
S  0.162  0.324  0.269
S  0.162  0.838  0.269
S  0.324  0.162  0.731
S  0.333  0.667  0.984
S  0.667  0.333  0.016
S  0.676  0.838  0.269
S  0.838  0.162  0.731
S  0.838  0.676  0.731

As for the theoretical density: 3570 kg/m3. As for the raw formation energy: -0.5151 eV/atom.

No. 5
Computed, not measured: crystalline Ac4Bi2PS at its relaxed geometry at the PBE-GGA level of DFT.

a = 8.001 Å, b = 4.625 Å, c = 8.041 Å
α = 90.00°, β = 109.35°, γ = 90.00°
Fractional coordinates of all 8 atoms:
Ac  0.239  0.000  0.226
Ac  0.254  0.500  0.772
Ac  0.746  0.500  0.228
Ac  0.761  0.000  0.774
Bi  0.000  0.000  0.500
Bi  0.500  0.500  0.500
P  0.000  0.500  0.000
S  0.500  0.000  0.000

As for the theoretical density: 8217 kg/m3. As for the raw formation energy: -1.3412 eV/atom.

No. 6
Computed, not measured: crystalline Ac6BiP2S3 at its relaxed geometry at the PBE-GGA level of DFT.

a = 9.939 Å, b = 9.939 Å, c = 8.916 Å
α = 102.17°, β = 102.17°, γ = 25.95°
Fractional coordinates of all 12 atoms:
Ac  0.003  0.003  0.271
Ac  0.326  0.326  0.904
Ac  0.331  0.331  0.421
Ac  0.669  0.669  0.579
Ac  0.674  0.674  0.096
Ac  0.997  0.997  0.729
Bi  0.500  0.500  0.000
P  0.168  0.168  0.335
P  0.832  0.832  0.665
S  0.165  0.165  0.833
S  0.500  0.500  0.500
S  0.835  0.835  0.167

As for the theoretical density: 7631 kg/m3. As for the raw formation energy: -1.6572 eV/atom.

No. 7
Computed, not measured: crystalline Ac4BiPS2 at its relaxed geometry at the PBE-GGA level of DFT.

a = 7.699 Å, b = 4.503 Å, c = 7.877 Å
α = 90.00°, β = 109.64°, γ = 90.00°
Fractional coordinates of all 8 atoms:
Ac  0.236  0.000  0.228
Ac  0.247  0.500  0.764
Ac  0.753  0.500  0.236
Ac  0.764  0.000  0.772
Bi  0.500  0.500  0.500
P  0.500  0.000  0.000
S  0.000  0.000  0.500
S  0.000  0.500  0.000

As for the theoretical density: 7826 kg/m3. As for the raw formation energy: -1.5886 eV/atom.

No. 8
Computed, not measured: crystalline Ac4Bi2SbP at its relaxed geometry at the PBE-GGA level of DFT.

a = 8.227 Å, b = 4.739 Å, c = 8.248 Å
α = 90.00°, β = 109.29°, γ = 90.00°
Fractional coordinates of all 8 atoms:
Ac  0.235  0.000  0.232
Ac  0.244  0.500  0.762
Ac  0.756  0.500  0.238
Ac  0.765  0.000  0.768
Bi  0.000  0.000  0.500
Bi  0.500  0.500  0.500
Sb  0.500  0.000  0.000
P  0.000  0.500  0.000

As for the theoretical density: 8089 kg/m3. As for the raw formation energy: -1.1354 eV/atom.

No. 9
Computed, not measured: crystalline Ac6Bi3PSe2 at its relaxed geometry at the PBE-GGA level of DFT.

a = 10.446 Å, b = 10.446 Å, c = 9.341 Å
α = 102.67°, β = 102.67°, γ = 25.85°
Fractional coordinates of all 12 atoms:
Ac  0.001  0.001  0.231
Ac  0.332  0.332  0.424
Ac  0.342  0.342  0.914
Ac  0.658  0.658  0.086
Ac  0.668  0.668  0.576
Ac  0.999  0.999  0.769
Bi  0.170  0.170  0.833
Bi  0.500  0.500  0.500
Bi  0.830  0.830  0.167
P  0.500  0.500  0.000
Se  0.167  0.167  0.334
Se  0.833  0.833  0.666

As for the theoretical density: 8350 kg/m3. As for the raw formation energy: -1.3636 eV/atom.

No. 10
Computed, not measured: crystalline Ac8Bi4PSe3 at its relaxed geometry at the PBE-GGA level of DFT.

a = 9.333 Å, b = 9.333 Å, c = 9.333 Å
α = 60.22°, β = 60.22°, γ = 60.22°
Fractional coordinates of all 16 atoms:
Ac  0.246  0.246  0.246
Ac  0.252  0.740  0.740
Ac  0.260  0.260  0.748
Ac  0.260  0.748  0.260
Ac  0.740  0.252  0.740
Ac  0.740  0.740  0.252
Ac  0.748  0.260  0.260
Ac  0.754  0.754  0.754
Bi  0.000  0.000  0.000
Bi  0.000  0.500  0.500
Bi  0.500  0.000  0.500
Bi  0.500  0.500  0.000
P  0.500  0.500  0.500
Se  0.000  0.000  0.500
Se  0.000  0.500  0.000
Se  0.500  0.000  0.000

As for the theoretical density: 8394 kg/m3. As for the raw formation energy: -1.3805 eV/atom.

No. 11
Computed, not measured: crystalline Ac6BiP2Se3 at its relaxed geometry at the PBE-GGA level of DFT.

a = 10.133 Å, b = 10.133 Å, c = 9.106 Å
α = 102.68°, β = 102.68°, γ = 25.79°
Fractional coordinates of all 12 atoms:
Ac  0.007  0.007  0.266
Ac  0.328  0.328  0.426
Ac  0.328  0.328  0.897
Ac  0.672  0.672  0.103
Ac  0.672  0.672  0.574
Ac  0.993  0.993  0.734
Bi  0.500  0.500  0.000
P  0.168  0.168  0.336
P  0.832  0.832  0.664
Se  0.163  0.163  0.834
Se  0.500  0.500  0.500
Se  0.837  0.837  0.166

As for the theoretical density: 7833 kg/m3. As for the raw formation energy: -1.6190 eV/atom.

No. 12
Computed, not measured: crystalline Sr3AcBi2P at its relaxed geometry at the PBE-GGA level of DFT.

a = 9.635 Å, b = 9.635 Å, c = 9.635 Å
α = 146.11°, β = 144.91°, γ = 49.58°
Fractional coordinates of all 7 atoms:
Sr  0.000  0.000  0.000
Sr  0.175  0.675  0.500
Sr  0.825  0.325  0.500
Ac  0.500  0.500  0.000
Bi  0.367  0.867  0.500
Bi  0.633  0.133  0.500
P  0.000  0.500  0.500

The calculation puts the formation energy from the elements at -0.93 eV/atom. As for the theoretical density: 5462 kg/m3.